Density functional theory data (GGA-PBE) for crystalline Nd4DyGa4 at its relaxed geometry.

Geometry as extended XYZ:
```
9
Lattice="-5.165 5.165 2.396 5.165 -5.165 2.396 5.165 5.165 -2.396" Properties=species:S:1:pos:R:3 pbc="T T T"
Nd 6.680 1.380 0.000
Nd 1.380 3.651 0.000
Nd 3.786 1.514 2.396
Nd -1.514 3.786 2.396
Dy 0.000 0.000 0.000
Ga 4.444 3.440 0.000
Ga 1.725 -0.721 2.396
Ga 3.440 5.887 0.000
Ga 0.721 1.725 2.396
```

## Properties
Space-group type = I4/m (87)
Final energy = -4.369 eV per atom
Energy of formation = -0.3929 eV/atom



Density functional theory data (GGA-PBE) for crystalline TaInTe2 at its relaxed geometry.

Geometry as extended XYZ:
```
4
Lattice="3.766 0.000 0.000 0.000 4.829 0.000 -1.676 0.000 5.733" Properties=species:S:1:pos:R:3 pbc="T T T"
Ta 0.000 0.000 0.000
In 1.045 0.000 2.866
Te -0.980 2.414 4.388
Te 3.070 2.414 1.345
```

## Properties
Space-group type = P2/m (10)
Final energy = -4.832 eV per atom
Formation energy (no corrections) = 1.5 eV per formula unit



Density functional theory data (GGA-PBE) for crystalline Ba2Mg4InSn3 at its relaxed geometry.

Geometry as extended XYZ:
```
10
Lattice="4.899 0.000 0.000 0.000 4.899 0.000 0.000 0.000 12.352" Properties=species:S:1:pos:R:3 pbc="T T T"
Ba 0.000 2.449 3.081
Ba 2.449 0.000 9.271
Mg 0.000 0.000 0.000
Mg 0.000 2.449 7.835
Mg 2.449 0.000 4.518
Mg 2.449 2.449 0.000
In 0.000 0.000 6.176
Sn 0.000 2.449 10.685
Sn 2.449 0.000 1.667
Sn 2.449 2.449 6.176
```

## Properties
Space-group type = P-4m2 (115)
Final energy = -2.952 eV per atom
Energy of formation = -0.4551 eV/atom



| no. | D(E_F) (states/eV/atom) |
| --- | --- |
| 1 | 0.9706 |
| 2 | 0.5769 |
| 3 | 0.3145 |